# 1
The following is a DFT calculation (PBE-GGA) of crystalline Y2TmRh at its relaxed geometry.

a b c (Å): 3.5796 3.5796 31.5371
angles (deg): 90.00 90.00 120.00
Space group R-3m (No. 166, hexagonal axes)
Unique sites:
Y1 0.0000 0.0000 0.1084 x6
Tm1 0.0000 0.0000 0.0000 x3
Rh1 0.0000 0.0000 0.5000 x3

Properties
E above lowest polymorph = 0.4287 eV/atom
ΔE_f = -99 meV per atom
N(E_F) = 5.64 states/eV/f.u.

# 2
The following is a DFT calculation (PBE-GGA) of crystalline SiTeAu2 at its relaxed geometry.

a b c (Å): 3.684 4.476 10.009
angles (deg): 90.00 90.00 90.00
Space group Immm (No. 71)
Unique sites:
Si1 0.000 0.000 0.000 x2
Te1 0.000 0.000 0.500 x2
Au1 0.000 0.500 0.288 x4

Properties
E above lowest polymorph = 0.2888 eV/atom
formation energy from raw total energies = 1.38 eV per formula unit
N(E_F) = 1.47 states/eV/f.u.

# 3
The following is a DFT calculation (PBE-GGA) of crystalline InTcPd2 at its relaxed geometry.

a b c (Å): 3.940 3.940 18.565
angles (deg): 90.00 90.00 90.00
Space group I-42d (No. 122)
Unique sites:
In1 0.000 0.000 0.000 x4
Tc1 0.000 0.000 0.500 x4
Pd1 0.241 0.250 0.625 x8

Properties
ΔE_f = 373 meV per atom
N(E_F) = 3.65 states/eV/f.u.

The highest N(E_F) belongs to which entry? Y2TmRh